The following is a DFT calculation (PBE with a Hubbard U) of a relaxed Mg3FeO4 crystal.

Computed properties:
V: 9.88 Å³ per atom
Total energy: -98.43 eV/cell
Density: 4.05 g cm⁻³

Cell lengths 5.2175, 3.0406, 10.1412 Å; angles 90.00, 100.78, 90.00 degrees
Closest atoms and distances in Å follow each position.
Space group C2/m (No. 12)
Inequivalent atoms, fractional coordinates:
Mg (0.0000, 0.0000, 0.0000) [2 per cell]  6 O 2.13-2.14
Mg (0.2458, 0.0000, 0.7537) [4 per cell]  6 O 2.12-2.14
Fe (0.0000, 0.5000, 0.5000) [2 per cell]  6 O 2.12-2.23
O (0.1225, 0.5000, 0.8769) [4 per cell]  6 Mg 2.12-2.14
O (0.1339, 0.0000, 0.3666) [4 per cell]  3 Mg 2.12, 3 Fe 2.12-2.23